VASP calculation (PBE-GGA) on Ba2NaPtPb after structural relaxation.

Summary:
The symmetry is No. 123. As for the total energy: -3.3439 eV per atom. For the density of states at the Fermi level, the calculation gives 5.46 states/eV/cell. As for the density: 5.5 g/cm3. The crystal system is tetragonal. As for the energy of formation from the pure elements: -34.8 kJ/mol of atoms.

Cell: 6.315 6.315 5.301 Å, 90.00 90.00 90.00°
Atoms (fractional coordinates):
1 Ba 0.000 0.500 0.000
2 Ba 0.500 0.000 0.000
3 Na 0.000 0.000 0.500
4 Pt 0.500 0.500 0.000
5 Pb 0.500 0.500 0.500